Entry 1:
! NaAlS6, relaxed, DFT GGA-PBE; values from VASP
! DFT total energy ... -4.067 eV/atom
&SYSTEM
  ibrav = 0, nat = 8, ntyp = 3
/
ATOMIC_SPECIES
S 32.06 S.upf
Al 26.98 Al.upf
Na 22.99 Na.upf
CELL_PARAMETERS angstrom
3.587 -0.423 -0.432
-1.102 10.440 -4.135
0.384 -2.862 7.118
ATOMIC_POSITIONS crystal
S 0.241 0.429 0.929
S 0.597 0.163 0.288
S 0.759 0.571 0.071
S 0.403 0.837 0.712
S 0.129 0.753 0.868
S 0.871 0.247 0.132
Al 0.000 0.000 0.000
Na 0.500 0.500 0.500

Entry 2:
! NbTeHPdICl, relaxed, DFT GGA-PBE; values from VASP
! Energy above the most stable polymorph in this dataset ... 69 meV per atom
! DFT total energy ... -4.498 eV/atom
&SYSTEM
  ibrav = 0, nat = 12, ntyp = 6
/
ATOMIC_SPECIES
Cl 35.45 Cl.upf
I 126.90 I.upf
H 1.01 H.upf
Nb 92.91 Nb.upf
Pd 106.42 Pd.upf
Te 127.60 Te.upf
CELL_PARAMETERS angstrom
6.842 0.000 -0.007
0.000 3.507 0.000
-6.537 0.000 12.165
ATOMIC_POSITIONS crystal
Cl 0.234 0.500 0.365
Cl 0.234 0.000 0.865
I 0.800 0.500 0.533
I 0.800 0.000 0.033
H 0.799 0.500 0.839
H 0.799 0.000 0.339
Nb 0.497 0.500 0.849
Nb 0.497 0.000 0.349
Pd 0.837 0.500 0.343
Pd 0.837 0.000 0.843
Te 0.430 0.500 0.177
Te 0.430 0.000 0.677

Entry 3:
! CaNbRe2, relaxed, DFT GGA-PBE; values from VASP
! Formation energy ... 1.07 eV/atom
! DFT total energy ... -8.175 eV/atom
&SYSTEM
  ibrav = 0, nat = 8, ntyp = 3
/
ATOMIC_SPECIES
Re 186.21 Re.upf
Ca 40.08 Ca.upf
Nb 92.91 Nb.upf
CELL_PARAMETERS angstrom
-0.433 -7.070 2.570
-1.244 -2.471 -7.009
1.907 -5.077 -2.599
ATOMIC_POSITIONS crystal
Re 0.091 0.625 0.250
Re 0.875 0.909 0.750
Re 0.659 0.125 0.250
Re 0.375 0.341 0.750
Ca 0.500 0.500 0.000
Ca 0.250 0.750 0.500
Nb 0.750 0.250 0.500
Nb 0.000 0.000 0.000

Entry 4:
! SmNpCo4, relaxed, DFT GGA-PBE; values from VASP
! Formation energy ... -0.05 eV/atom
! DFT total energy ... -7.728 eV/atom
&SYSTEM
  ibrav = 0, nat = 6, ntyp = 3
/
ATOMIC_SPECIES
Co 58.93 Co.upf
Sm 150.36 Sm.upf
Np 237.00 Np.upf
CELL_PARAMETERS angstrom
-3.619 3.340 1.119
-4.792 -1.527 0.455
-2.201 -0.089 4.545
ATOMIC_POSITIONS crystal
Co 0.122 0.626 0.626
Co 0.626 0.122 0.626
Co 0.626 0.626 0.626
Co 0.626 0.626 0.122
Sm 0.250 0.250 0.250
Np 0.000 0.000 0.000